Record 1
CoTcAuCl2: optimized geometry, PBE.

The structure in CIF format:
```
data_CoTcAuCl2
_chemical_formula_sum 'Co1 Tc1 Au1 Cl2'
_cell_length_a 4.8846
_cell_length_b 4.8846
_cell_length_c 5.5154
_cell_angle_alpha 90.00
_cell_angle_beta 90.00
_cell_angle_gamma 90.00
_space_group_name_H-M_alt 'P 4/m m m'
_space_group_IT_number 123
_space_group_name_Hall '-P 4 2'
loop_
_atom_site_label
_atom_site_type_symbol
_atom_site_fract_x
_atom_site_fract_y
_atom_site_fract_z
Co1 Co 0.0000 0.0000 0.0000
Tc1 Tc 0.5000 0.5000 0.0000
Au1 Au 0.5000 0.5000 0.5000
Cl1 Cl 0.0000 0.5000 0.5000
```

Output
**Raw formation energy**: 1.436 eV/atom

---

Record 2
Ac2In3Ga: optimized geometry, PBE.

The structure in CIF format:
```
data_Ac2In3Ga
_chemical_formula_sum 'Ac2 In3 Ga1'
_cell_length_a 4.7192
_cell_length_b 4.7470
_cell_length_c 8.2389
_cell_angle_alpha 90.00
_cell_angle_beta 90.00
_cell_angle_gamma 90.00
_space_group_name_H-M_alt 'P m m 2'
_space_group_IT_number 25
_space_group_name_Hall 'P 2 -2'
loop_
_atom_site_label
_atom_site_type_symbol
_atom_site_fract_x
_atom_site_fract_y
_atom_site_fract_z
Ac1 Ac 0.0000 0.0000 0.0000
Ac2 Ac 0.0000 0.5000 0.4821
In1 In 0.5000 0.0000 0.6460
In2 In 0.5000 0.5000 0.1653
In3 In 0.5000 0.5000 0.8238
Ga1 Ga 0.5000 0.0000 0.3221
```

Output
**E**: -3.72 eV per atom

---

Record 3
Ac3PtPb3: optimized geometry, PBE.

The structure in CIF format:
```
data_Ac3PtPb3
_chemical_formula_sum 'Ac12 Pt4 Pb12'
_cell_length_a 12.2172
_cell_length_b 4.9040
_cell_length_c 16.5931
_cell_angle_alpha 90.00
_cell_angle_beta 110.79
_cell_angle_gamma 90.00
_space_group_name_H-M_alt 'C 1 2/m 1'
_space_group_IT_number 12
_space_group_name_Hall '-C 2y'
loop_
_atom_site_label
_atom_site_type_symbol
_atom_site_fract_x
_atom_site_fract_y
_atom_site_fract_z
Ac1 Ac 0.0290 0.0000 0.3840
Ac2 Ac 0.0955 0.0000 0.9216
Ac3 Ac 0.2493 0.0000 0.2446
Pt1 Pt 0.2354 0.0000 0.6209
Pb1 Pb 0.0359 0.5000 0.2372
Pb2 Pb 0.1286 0.5000 0.0775
Pb3 Pb 0.1505 0.5000 0.5299
```

Output
**E**: -4.85 eV per atom

---

Record 4
ThGaPd6: optimized geometry, PBE.

The structure in CIF format:
```
data_ThGaPd6
_chemical_formula_sum 'Th3 Ga3 Pd18'
_cell_length_a 5.4869
_cell_length_b 5.4869
_cell_length_c 19.3686
_cell_angle_alpha 90.00
_cell_angle_beta 90.00
_cell_angle_gamma 120.00
_space_group_name_H-M_alt 'R -3 m'
_space_group_IT_number 166
_space_group_name_Hall '-R 3 2"'
loop_
_atom_site_label
_atom_site_type_symbol
_atom_site_fract_x
_atom_site_fract_y
_atom_site_fract_z
Th1 Th 0.0000 0.0000 0.0000
Ga1 Ga 0.0000 0.0000 0.5000
Pd1 Pd 0.0074 0.5037 0.9294
```

Output
**Energy above the most stable polymorph in this dataset**: 363 meV/atom

---

Record 5
La2VZn2: optimized geometry, PBE.

The structure in CIF format:
```
data_La2VZn2
_chemical_formula_sum 'La4 V2 Zn4'
_cell_length_a 8.7804
_cell_length_b 8.7804
_cell_length_c 3.3170
_cell_angle_alpha 90.00
_cell_angle_beta 90.00
_cell_angle_gamma 90.00
_space_group_name_H-M_alt 'P 4/m b m'
_space_group_IT_number 127
_space_group_name_Hall '-P 4 2ab'
loop_
_atom_site_label
_atom_site_type_symbol
_atom_site_fract_x
_atom_site_fract_y
_atom_site_fract_z
La1 La 0.1834 0.3166 0.0000
V1 V 0.0000 0.0000 0.0000
Zn1 Zn 0.1102 0.6102 0.5000
```

Output
**Energy above the most stable polymorph in this dataset**: 253 meV/atom

---

Record 6
ScCoRu2: optimized geometry, PBE.

The structure in CIF format:
```
data_ScCoRu2
_chemical_formula_sum 'Sc4 Co4 Ru8'
_cell_length_a 6.1587
_cell_length_b 6.1587
_cell_length_c 6.1587
_cell_angle_alpha 90.00
_cell_angle_beta 90.00
_cell_angle_gamma 90.00
_space_group_name_H-M_alt 'F m -3 m'
_space_group_IT_number 225
_space_group_name_Hall '-F 4 2 3'
loop_
_atom_site_label
_atom_site_type_symbol
_atom_site_fract_x
_atom_site_fract_y
_atom_site_fract_z
Sc1 Sc 0.0000 0.0000 0.0000
Co1 Co 0.0000 0.0000 0.5000
Ru1 Ru 0.2500 0.2500 0.2500
```

Output
**Energy above the most stable polymorph in this dataset**: 45 meV/atom

---

Record 7
NaLi6Tl6: optimized geometry, PBE.

The structure in CIF format:
```
data_NaLi6Tl6
_chemical_formula_sum 'Na1 Li6 Tl6'
_cell_length_a 6.3551
_cell_length_b 6.3551
_cell_length_c 9.4811
_cell_angle_alpha 90.00
_cell_angle_beta 90.00
_cell_angle_gamma 120.00
_space_group_name_H-M_alt 'P 6/m m m'
_space_group_IT_number 191
_space_group_name_Hall '-P 6 2'
loop_
_atom_site_label
_atom_site_type_symbol
_atom_site_fract_x
_atom_site_fract_y
_atom_site_fract_z
Na1 Na 0.0000 0.0000 0.0000
Li1 Li 0.0000 0.0000 0.3357
Li2 Li 0.3333 0.6667 0.0000
Li3 Li 0.3333 0.6667 0.5000
Tl1 Tl 0.0000 0.5000 0.2483
```

Output
**Energy above the most stable polymorph in this dataset**: 95 meV/atom

---

Record 8
Cd2AsW: optimized geometry, PBE.

The structure in CIF format:
```
data_Cd2AsW
_chemical_formula_sum 'Cd4 As2 W2'
_cell_length_a 3.2430
_cell_length_b 4.7541
_cell_length_c 11.2553
_cell_angle_alpha 90.00
_cell_angle_beta 90.00
_cell_angle_gamma 90.00
_space_group_name_H-M_alt 'C m m 2'
_space_group_IT_number 35
_space_group_name_Hall 'C 2 -2'
loop_
_atom_site_label
_atom_site_type_symbol
_atom_site_fract_x
_atom_site_fract_y
_atom_site_fract_z
Cd1 Cd 0.0000 0.0000 0.0000
Cd2 Cd 0.0000 0.5000 0.2629
As1 As 0.0000 0.0000 0.6033
W1 W 0.0000 0.5000 0.7778
```

Output
**E**: -4.55 eV per atom

---

Record 9
ZrI3: optimized geometry, PBE.

The structure in CIF format:
```
data_ZrI3
_chemical_formula_sum 'Zr4 I12'
_cell_length_a 10.4454
_cell_length_b 10.4454
_cell_length_c 5.9061
_cell_angle_alpha 90.00
_cell_angle_beta 90.00
_cell_angle_gamma 90.00
_space_group_name_H-M_alt 'I -4 2 d'
_space_group_IT_number 122
_space_group_name_Hall 'I -4 2bw'
loop_
_atom_site_label
_atom_site_type_symbol
_atom_site_fract_x
_atom_site_fract_y
_atom_site_fract_z
Zr1 Zr 0.0000 0.0000 0.0000
I1 I 0.0000 0.0000 0.5000
I2 I 0.1139 0.2500 0.1250
```

Output
**Raw formation energy**: -0.587 eV/atom

---

Record 10
Na2ZrPbO6: optimized geometry, PBE.

The structure in CIF format:
```
data_Na2ZrPbO6
_chemical_formula_sum 'Na2 Zr1 Pb1 O6'
_cell_length_a 5.7565
_cell_length_b 5.7590
_cell_length_c 5.9972
_cell_angle_alpha 61.36
_cell_angle_beta 61.37
_cell_angle_gamma 60.03
_space_group_name_H-M_alt 'P 1'
_space_group_IT_number 1
_space_group_name_Hall 'P 1'
loop_
_atom_site_label
_atom_site_type_symbol
_atom_site_fract_x
_atom_site_fract_y
_atom_site_fract_z
Na1 Na 0.0000 0.0000 0.0000
Na2 Na 0.4990 0.5000 0.5013
Zr1 Zr 0.7677 0.7683 0.6953
Pb1 Pb 0.2781 0.2787 0.1648
O1 O 0.0388 0.4340 0.8978
O2 O 0.1030 0.9389 0.4075
O3 O 0.4337 0.6290 0.8975
O4 O 0.5502 0.1048 0.4075
O5 O 0.6285 0.0382 0.8991
O6 O 0.9383 0.5505 0.4073
```

Output
**Raw formation energy**: -1.536 eV/atom

---

Record 11
Rb2FeSI6: optimized geometry, PBE.

The structure in CIF format:
```
data_Rb2FeSI6
_chemical_formula_sum 'Rb4 Fe2 S2 I12'
_cell_length_a 8.3134
_cell_length_b 8.3134
_cell_length_c 11.4944
_cell_angle_alpha 90.00
_cell_angle_beta 90.00
_cell_angle_gamma 90.00
_space_group_name_H-M_alt 'I 4/m m m'
_space_group_IT_number 139
_space_group_name_Hall '-I 4 2'
loop_
_atom_site_label
_atom_site_type_symbol
_atom_site_fract_x
_atom_site_fract_y
_atom_site_fract_z
Rb1 Rb 0.0000 0.5000 0.2500
Fe1 Fe 0.0000 0.0000 0.0000
S1 S 0.0000 0.0000 0.5000
I1 I 0.0000 0.0000 0.2642
I2 I 0.2283 0.2283 0.0000
```

Output
**Raw formation energy**: -0.492 eV/atom